An optimized crystal structure of K2LiV3F12, computed with GGA+U.

Lattice parameters (Å, degrees): 7.312 7.312 7.312 61.59 61.59 61.59
Sites, in units of the cell vectors:
K 0.150 0.150 0.150
K 0.850 0.850 0.850
Li 0.500 0.500 0.500
V 0.000 0.500 0.500
V 0.500 0.000 0.500
V 0.500 0.500 0.000
F 0.162 0.578 0.578
F 0.183 0.183 0.572
F 0.183 0.572 0.183
F 0.422 0.422 0.838
F 0.422 0.838 0.422
F 0.428 0.817 0.817
F 0.572 0.183 0.183
F 0.578 0.162 0.578
F 0.578 0.578 0.162
F 0.817 0.428 0.817
F 0.817 0.817 0.428
F 0.838 0.422 0.422

Values from the calculation:
The space-group type is R-3m (166). As for the total moment: 6.00 Bohr magnetons per cell. Its calculated total energy is -5.614 eV per atom. For the density of states at the Fermi level, the calculation gives 0.00 states/eV per cell. The crystal system is trigonal.